Compound: ZrInCo2
Source: Alexandria via LeMat-Bulk
Functional: PBE
Structure: relaxed

Properties
- Uncorrected energy: -6.517 eV per atom
- Space group: No. 38
- DFT formation energy: -0.14 eV/atom
- Total magnetic moment: 0.01 μB/f.u.

Lattice parameters (Å, degrees): 3.749 3.708 5.046 68.44 90.00 90.00
Sites, in units of the cell vectors:
Co 0.500 0.055 0.264
Co 0.000 0.197 0.980
In 0.000 0.478 0.419
Zr 0.500 0.770 0.836

***

Compound: ZrInCo2
Source: Alexandria via LeMat-Bulk
Functional: PBE
Structure: relaxed

Properties
- Uncorrected energy: -5.668 eV per atom
- Space group: No. 71
- DFT formation energy: 0.71 eV/atom
- Total magnetic moment: 2.72 μB/f.u.

Lattice parameters (Å, degrees): 5.882 5.882 5.882 58.86 152.26 129.20
Sites, in units of the cell vectors:
Co 0.000 0.752 0.752
Co 0.000 0.248 0.248
Zr 0.000 0.000 0.000
In 0.000 0.500 0.500

***

Compound: Zr2In4Co5
Source: Alexandria via LeMat-Bulk
Functional: PBE
Structure: relaxed

Properties
- Uncorrected energy: -5.551 eV per atom
- Space group: No. 10
- DFT formation energy: 0.23 eV/atom
- Total magnetic moment: 5.14 μB/f.u.

Lattice parameters (Å, degrees): 2.955 6.383 10.155 89.47 90.00 90.00
Sites, in units of the cell vectors:
In 0.500 0.822 0.909
In 0.500 0.303 0.624
In 0.500 0.178 0.091
In 0.500 0.697 0.376
Zr 0.000 0.860 0.632
Zr 0.000 0.140 0.368
Co 0.000 0.178 0.851
Co 0.000 0.822 0.149
Co 0.000 0.454 0.228
Co 0.000 0.500 0.000
Co 0.000 0.546 0.772

***

Compound: Zr6InCo
Source: Alexandria via LeMat-Bulk
Functional: PBE
Structure: relaxed

Properties
- Uncorrected energy: -7.729 eV per atom
- Space group: No. 12
- DFT formation energy: -0.09 eV/atom
- Total magnetic moment: 1.07 μB/f.u.

Lattice parameters (Å, degrees): 5.841 7.768 5.700 67.91 84.57 46.95
Sites, in units of the cell vectors:
Zr 0.159 0.087 0.342
Zr 0.588 0.658 0.913
Zr 0.412 0.342 0.087
Zr 0.841 0.913 0.658
Zr 0.169 0.246 0.754
Zr 0.831 0.754 0.246
In 0.500 0.500 0.500
Co 0.000 0.000 0.000

***

Compound: ZrInCo2
Source: Alexandria via LeMat-Bulk
Functional: PBE
Structure: relaxed

Properties
- Uncorrected energy: -6.536 eV per atom
- Space group: No. 123
- DFT formation energy: -0.16 eV/atom
- Total magnetic moment: 1.16 μB/f.u.

Lattice parameters (Å, degrees): 3.200 3.200 6.975 62.70 90.00 90.00
Sites, in units of the cell vectors:
In 0.500 0.250 0.250
Zr 0.500 0.750 0.750
Co 0.000 0.492 0.508
Co 0.000 0.008 0.992

***

Compound: ZrIn2Co2
Source: Alexandria via LeMat-Bulk
Functional: PBE
Structure: relaxed

Properties
- Uncorrected energy: -5.385 eV per atom
- Space group: No. 139
- DFT formation energy: 0.26 eV/atom
- Total magnetic moment: 2.91 μB/f.u.
- ΔE to the lowest computed polymorph: 7.00 kcal/mol of atoms

Lattice parameters (Å, degrees): 3.855 3.855 6.783 73.49 73.49 90.00
Sites, in units of the cell vectors:
In 0.613 0.613 0.774
In 0.387 0.387 0.226
Co 0.750 0.250 0.500
Co 0.250 0.750 0.500
Zr 0.000 0.000 0.000

***

Compound: ZrInCo2
Source: Alexandria via LeMat-Bulk
Functional: PBE
Structure: relaxed

Properties
- Uncorrected energy: -6.440 eV per atom
- Space group: No. 119
- DFT formation energy: -0.07 eV/atom
- Total magnetic moment: 0.00 μB/f.u.

Lattice parameters (Å, degrees): 5.199 5.199 3.745 68.89 68.89 42.14
Sites, in units of the cell vectors:
In 0.500 0.500 0.500
Co 0.750 0.750 0.750
Co 0.000 0.000 0.000
Zr 0.250 0.250 0.250

***

Compound: Zr2In5Co4
Source: Alexandria via LeMat-Bulk
Functional: PBE
Structure: relaxed

Properties
- Uncorrected energy: -5.302 eV per atom
- Space group: No. 10
- DFT formation energy: 0.08 eV/atom
- Total magnetic moment: 0.55 μB/f.u.

Lattice parameters (Å, degrees): 3.001 7.779 9.531 66.35 90.00 90.00
Sites, in units of the cell vectors:
Co 0.500 0.830 0.911
Co 0.500 0.170 0.089
Co 0.500 0.194 0.586
Co 0.500 0.806 0.414
In 0.000 0.536 0.636
In 0.000 0.464 0.364
In 0.000 0.847 0.154
In 0.000 0.153 0.846
In 0.000 0.500 0.000
Zr 0.000 0.893 0.673
Zr 0.000 0.107 0.327

***

Compound: Zr4InCo
Source: Alexandria via LeMat-Bulk
Functional: PBE
Structure: relaxed

Properties
- Uncorrected energy: -6.897 eV per atom
- Space group: No. 216
- DFT formation energy: 0.44 eV/atom
- Total magnetic moment: 1.13 μB/f.u.
- ΔE to the lowest computed polymorph: 11.33 kcal/mol of atoms

Lattice parameters (Å, degrees): 5.683 5.683 5.683 60.00 60.00 60.00
Sites, in units of the cell vectors:
Zr 0.873 0.376 0.376
Zr 0.376 0.873 0.376
Zr 0.376 0.376 0.873
Zr 0.376 0.376 0.376
Co 0.750 0.750 0.750
In 0.000 0.000 0.000

***

Compound: Zr5In2Co4
Source: Alexandria via LeMat-Bulk
Functional: PBE
Structure: relaxed

Properties
- Uncorrected energy: -6.933 eV per atom
- Space group: No. 10
- DFT formation energy: 0.03 eV/atom
- Total magnetic moment: 0.01 μB/f.u.

Lattice parameters (Å, degrees): 2.912 7.480 9.201 81.32 90.00 90.00
Sites, in units of the cell vectors:
Co 0.500 0.225 0.594
Co 0.500 0.209 0.115
Co 0.500 0.775 0.406
Co 0.500 0.791 0.885
In 0.000 0.113 0.360
In 0.000 0.887 0.640
Zr 0.000 0.134 0.868
Zr 0.000 0.866 0.132
Zr 0.000 0.489 0.658
Zr 0.000 0.500 0.000
Zr 0.000 0.511 0.342

***

Compound: ZrInCo
Source: Alexandria via LeMat-Bulk
Functional: PBE
Structure: relaxed

Properties
- Uncorrected energy: -6.226 eV per atom
- Space group: No. 216
- DFT formation energy: -0.10 eV/atom
- Total magnetic moment: 1.06 μB/f.u.

Lattice parameters (Å, degrees): 4.381 4.381 4.381 60.00 60.00 60.00
Sites, in units of the cell vectors:
Zr 0.500 0.500 0.500
Co 0.250 0.250 0.250
In 0.000 0.000 0.000

***

Compound: ZrInCo2
Source: Alexandria via LeMat-Bulk
Functional: PBE
Structure: relaxed

Properties
- Uncorrected energy: -6.404 eV per atom
- Space group: No. 99
- DFT formation energy: -0.03 eV/atom
- Total magnetic moment: 2.85 μB/f.u.

Lattice parameters (Å, degrees): 3.074 3.074 6.934 90.00 90.00 90.00
Sites, in units of the cell vectors:
Co 0.500 0.500 0.202
Co 0.000 0.000 0.046
Zr 0.500 0.500 0.797
In 0.000 0.000 0.456